[1]
# PBE-GGA Nd5Al2Te, optimized geometry
data_Nd5Al2Te
_chemical_formula_sum 'Nd20 Al8 Te4'
_cell_length_a 8.195
_cell_length_b 8.195
_cell_length_c 14.097
_cell_angle_alpha 90.00
_cell_angle_beta 90.00
_cell_angle_gamma 90.00
_symmetry_space_group_name_H-M 'I 4/m c m'
_symmetry_Int_Tables_number 140
_symmetry_space_group_name_Hall '-I 4 2c'
loop_
_atom_site_label
_atom_site_type_symbol
_atom_site_fract_x
_atom_site_fract_y
_atom_site_fract_z
Nd1 Nd 0.000 0.000 0.000
Nd2 Nd 0.166 0.334 0.148
Al1 Al 0.122 0.378 0.500
Te1 Te 0.000 0.000 0.250
# **Total DFT energy (no corrections)**: -38.7 eV per formula unit

=====

[2]
# PBE-GGA Cr2PICl, optimized geometry
data_Cr2PICl
_chemical_formula_sum 'Cr2 P1 I1 Cl1'
_cell_length_a 5.049
_cell_length_b 5.049
_cell_length_c 4.881
_cell_angle_alpha 90.00
_cell_angle_beta 90.00
_cell_angle_gamma 90.00
_symmetry_space_group_name_H-M 'P 4/m m m'
_symmetry_Int_Tables_number 123
_symmetry_space_group_name_Hall '-P 4 2'
loop_
_atom_site_label
_atom_site_type_symbol
_atom_site_fract_x
_atom_site_fract_y
_atom_site_fract_z
Cr1 Cr 0.000 0.500 0.000
P1 P 0.000 0.000 0.500
I1 I 0.500 0.500 0.500
Cl1 Cl 0.000 0.000 0.000
# **Total DFT energy (no corrections)**: -23.3 eV per formula unit

=====

[3]
# PBE-GGA Be2CrNi, optimized geometry
data_Be2CrNi
_chemical_formula_sum 'Be2 Cr1 Ni1'
_cell_length_a 2.526
_cell_length_b 2.526
_cell_length_c 5.877
_cell_angle_alpha 90.00
_cell_angle_beta 90.00
_cell_angle_gamma 90.00
_symmetry_space_group_name_H-M 'P 4/m m m'
_symmetry_Int_Tables_number 123
_symmetry_space_group_name_Hall '-P 4 2'
loop_
_atom_site_label
_atom_site_type_symbol
_atom_site_fract_x
_atom_site_fract_y
_atom_site_fract_z
Be1 Be 0.000 0.000 0.225
Cr1 Cr 0.500 0.500 0.500
Ni1 Ni 0.500 0.500 0.000
# **ΔH_f (0 K)**: -182 meV/atom

=====

[4]
# PBE-GGA SrLa3Y, optimized geometry
data_SrLa3Y
_chemical_formula_sum 'Sr1 La3 Y1'
_cell_length_a 6.072
_cell_length_b 6.072
_cell_length_c 6.072
_cell_angle_alpha 90.00
_cell_angle_beta 90.00
_cell_angle_gamma 90.00
_symmetry_space_group_name_H-M 'P m -3 m'
_symmetry_Int_Tables_number 221
_symmetry_space_group_name_Hall '-P 4 2 3'
loop_
_atom_site_label
_atom_site_type_symbol
_atom_site_fract_x
_atom_site_fract_y
_atom_site_fract_z
Sr1 Sr 0.000 0.000 0.000
La1 La 0.000 0.500 0.500
Y1 Y 0.500 0.500 0.500
# **Energy above the lowest structure with this stoichiometry**: 0 meV per atom
# **ΔH_f (0 K)**: 460 meV/atom

=====

[5]
# PBE-GGA LiAcSmSb, optimized geometry
data_LiAcSmSb
_chemical_formula_sum 'Li4 Ac4 Sm4 Sb4'
_cell_length_a 7.797
_cell_length_b 7.797
_cell_length_c 7.797
_cell_angle_alpha 90.00
_cell_angle_beta 90.00
_cell_angle_gamma 90.00
_symmetry_space_group_name_H-M 'F -4 3 m'
_symmetry_Int_Tables_number 216
_symmetry_space_group_name_Hall 'F -4 2 3'
loop_
_atom_site_label
_atom_site_type_symbol
_atom_site_fract_x
_atom_site_fract_y
_atom_site_fract_z
Li1 Li 0.000 0.000 0.000
Ac1 Ac 0.250 0.250 0.250
Sm1 Sm 0.250 0.250 0.750
Sb1 Sb 0.000 0.000 0.500
# **Total DFT energy (no corrections)**: -16.5 eV per formula unit

=====

[6]
# PBE-GGA CsHfFeOs2, optimized geometry
data_CsHfFeOs2
_chemical_formula_sum 'Cs1 Hf1 Fe1 Os2'
_cell_length_a 4.928
_cell_length_b 4.928
_cell_length_c 4.541
_cell_angle_alpha 90.00
_cell_angle_beta 90.00
_cell_angle_gamma 90.00
_symmetry_space_group_name_H-M 'P 4/m m m'
_symmetry_Int_Tables_number 123
_symmetry_space_group_name_Hall '-P 4 2'
loop_
_atom_site_label
_atom_site_type_symbol
_atom_site_fract_x
_atom_site_fract_y
_atom_site_fract_z
Cs1 Cs 0.000 0.000 0.000
Hf1 Hf 0.500 0.500 0.500
Fe1 Fe 0.000 0.000 0.500
Os1 Os 0.000 0.500 0.000
# **ΔH_f (0 K)**: 2999 meV/atom

=====

[7]
# PBE-GGA Ba8As3RhI3, optimized geometry
data_Ba8As3RhI3
_chemical_formula_sum 'Ba24 As9 Rh3 I9'
_cell_length_a 9.6037
_cell_length_b 9.6037
_cell_length_c 25.1648
_cell_angle_alpha 90.00
_cell_angle_beta 90.00
_cell_angle_gamma 120.00
_symmetry_space_group_name_H-M 'R -3 m'
_symmetry_Int_Tables_number 166
_symmetry_space_group_name_Hall '-R 3 2"'
loop_
_atom_site_label
_atom_site_type_symbol
_atom_site_fract_x
_atom_site_fract_y
_atom_site_fract_z
Ba1 Ba 0.0000 0.0000 0.2353
Ba2 Ba 0.0079 0.5039 0.2330
As1 As 0.0000 0.5000 0.5000
Rh1 Rh 0.0000 0.0000 0.5000
I1 I 0.0000 0.5000 0.0000
# **Total DFT energy (no corrections)**: -59.1 eV per formula unit

=====

[8]
# PBE-GGA Ho8Ge3Te4Ir, optimized geometry
data_Ho8Ge3Te4Ir
_chemical_formula_sum 'Ho24 Ge9 Te12 Ir3'
_cell_length_a 8.3983
_cell_length_b 8.3983
_cell_length_c 21.3057
_cell_angle_alpha 90.00
_cell_angle_beta 90.00
_cell_angle_gamma 120.00
_symmetry_space_group_name_H-M 'R -3 m'
_symmetry_Int_Tables_number 166
_symmetry_space_group_name_Hall '-R 3 2"'
loop_
_atom_site_label
_atom_site_type_symbol
_atom_site_fract_x
_atom_site_fract_y
_atom_site_fract_z
Ho1 Ho 0.0000 0.0000 0.2404
Ho2 Ho 0.0050 0.5025 0.2378
Ge1 Ge 0.0000 0.5000 0.5000
Te1 Te 0.0000 0.0000 0.0000
Te2 Te 0.0000 0.5000 0.0000
Ir1 Ir 0.0000 0.0000 0.5000
# **Total DFT energy (no corrections)**: -89.8 eV per formula unit

=====

| no. | total moment (μB per formula unit) |
| --- | --- |
| 1 | 2.20 |
| 2 | 8.40 |
| 3 | 0.00 |
| 4 | 0.59 |
| 5 | 0.00 |
| 6 | 2.48 |
| 7 | 0.93 |
| 8 | 0.00 |